Entry from the Alexandria database: a relaxed Fe5O8F2 crystal (PBE+U).

Lattice parameters (Å, degrees): 4.627 7.593 9.720 70.29 88.42 88.97
Site moments in Bohr magnetons follow the coordinates.
Atoms (fractional coordinates):
Fe: 0.487 0.692 0.909  4.25
Fe: 0.537 0.907 0.311  4.14
Fe: 0.491 0.118 0.702  4.17
Fe: 0.474 0.289 0.091  4.13
Fe: 0.481 0.497 0.488  4.10
Fe: 0.998 0.401 0.803  2.76
Fe: 0.041 0.806 0.600  4.22
Fe: 0.012 0.196 0.408  2.83
Fe: 0.994 0.597 0.199  4.21
Fe: 0.983 0.000 0.988  4.17
O: 0.180 0.236 0.969  -0.07
O: 0.206 0.047 0.580  -0.05
O: 0.181 0.434 0.374  0.02
O: 0.191 0.636 0.781  -0.02
O: 0.306 0.938 0.876  0.08
O: 0.293 0.356 0.673  0.05
O: 0.296 0.525 0.084  0.12
O: 0.310 0.135 0.279  -0.03
O: 0.324 0.739 0.475  0.05
O: 0.694 0.268 0.521  0.00
O: 0.698 0.661 0.321  0.04
O: 0.691 0.058 0.122  0.03
O: 0.694 0.455 0.925  -0.01
O: 0.832 0.963 0.432  0.03
O: 0.799 0.171 0.817  0.02
O: 0.806 0.759 0.023  0.09
F: 0.198 0.840 0.177  0.12
F: 0.700 0.860 0.722  0.10
F: 0.806 0.568 0.625  0.05
F: 0.799 0.348 0.227  0.08

Computed properties:
N(E_F) in states/eV/f.u.: 4.73
E_tot in eV/cell: -181.9